No. 1
Computed, not measured: a crystal of ZnOs2Cl relaxed with PBEsol at the SCAN level of DFT.

- excess energy over the best structure of this formula in the dataset (meV/atom) = 0
- VASP energy (Ry per atom) = -2.954
- raw formation energy (eV/f.u.) = 4.5
- density (kg/m3) = 12833

Cell: 2.735 3.906 5.830 Å, 90.00 90.00 90.00°
Space group Pmmm (No. 47)
One atom of each set of equivalent atoms:
Zn 0.000 0.000 0.000
Os 0.500 0.500 0.202
Cl 0.000 0.000 0.500


No. 2
Computed, not measured: a crystal of Zn4OsCl relaxed with PBEsol at the SCAN level of DFT.

- VASP energy (Ry per atom) = -1.603
- raw formation energy (eV/f.u.) = 3.0
- density (kg/m3) = 9256

Cell: 7.045 7.045 7.045 Å, 90.00 90.00 90.00°
Space group F-43m (No. 216)
One atom of each set of equivalent atoms:
Zn 0.124 0.124 0.376
Os 0.250 0.250 0.750
Cl 0.000 0.000 0.000


No. 3
Computed, not measured: a crystal of ZnOs2Cl relaxed with PBEsol at the SCAN level of DFT.

- excess energy over the best structure of this formula in the dataset (meV/atom) = 182
- VASP energy (Ry per atom) = -2.940
- raw formation energy (eV/f.u.) = 5.2
- density (kg/m3) = 14598

Cell: 4.319 4.319 2.935 Å, 90.00 90.00 90.00°
Space group P4/mmm (No. 123)
One atom of each set of equivalent atoms:
Zn 0.000 0.000 0.000
Os 0.000 0.500 0.500
Cl 0.500 0.500 0.000


No. 4
Computed, not measured: a crystal of ZrOsCl2 relaxed with PBEsol at the SCAN level of DFT.

- VASP energy (Ry per atom) = -2.156
- raw formation energy (eV/f.u.) = 1.2
- density (kg/m3) = 8517

Cell: 6.501 6.501 6.501 Å, 90.00 90.00 90.00°
Space group F-43m (No. 216)
One atom of each set of equivalent atoms:
Zr 0.000 0.000 0.000
Os 0.250 0.250 0.750
Cl 0.000 0.000 0.500
Cl 0.250 0.250 0.250